No. 1
VASP calculation (PBE-GGA) on a geometry-optimized Rb2CaSn structure.

Cell: 13.3447 13.3447 6.0965 Å, 90.00 90.00 90.00°
Last column: nearest neighbours and their distance in Å.
Space group I-42d (No. 122)
Asymmetric unit:
Rb 0.1062 0.2500 0.1250 x8  2 Sn 3.70
Ca 0.0000 0.0000 0.5000 x4  2 Sn 3.05
Sn 0.0000 0.0000 0.0000 x4  2 Ca 3.05

Formation energy ... 2.16 kJ per mole of atoms

No. 2
VASP calculation (PBE-GGA) on a geometry-optimized Tb2Al4SiPd3 structure.

Cell: 4.1702 4.1702 10.6806 Å, 90.00 90.00 90.00°
Last column: nearest neighbours and their distance in Å.
Space group P-4m2 (No. 115)
Asymmetric unit:
Tb 0.0000 0.5000 0.2487 x2  8 Al 3.18-3.40, 6 Pd 3.20-3.38, 2 Si 3.38
Al 0.0000 0.0000 0.5000 x1  4 Pd 2.53
Al 0.0000 0.5000 0.8634 x2  3 Pd 2.44-2.54, 2 Si 2.54
Al 0.5000 0.5000 0.5000 x1  4 Pd 2.53
Si 0.5000 0.5000 0.0000 x1  4 Al 2.54
Pd 0.0000 0.0000 0.0000 x1  4 Al 2.54
Pd 0.0000 0.5000 0.6345 x2  5 Al 2.44-2.53

Uncorrected formation energy ... -0.77 eV/atom

No. 3
VASP calculation (PBE-GGA) on a geometry-optimized CsTlTe2 structure.

Cell: 3.6757 3.6757 39.2073 Å, 90.00 90.00 120.00°
Last column: nearest neighbours and their distance in Å.
Space group R-3m (No. 166, hexagonal axes)
Asymmetric unit:
Cs 0.0000 0.0000 0.0000 x3  6 Cs 3.68, 6 Te 3.77
Tl 0.0000 0.0000 0.5000 x3  2 Te 3.42, 6 Tl 3.68
Te 0.0000 0.0000 0.4127 x6  1 Tl 3.42, 6 Te 3.68, 3 Cs 3.77

Uncorrected formation energy ... -0.02 eV/atom

No. 4
VASP calculation (PBE-GGA) on a geometry-optimized CrReTc2 structure.

Cell: 3.0056 4.3429 8.6463 Å, 90.00 90.00 90.00°
Last column: nearest neighbours and their distance in Å.
Space group Imm2 (No. 44)
Asymmetric unit:
Cr 0.0000 0.0000 0.0000 x2  2 Re 2.47, 6 Tc 2.55-2.64
Re 0.0000 0.5000 0.7261 x2  2 Cr 2.47, 6 Tc 2.66-2.74
Tc 0.0000 0.0000 0.4907 x2  4 Cr 2.64, 2 Re 2.74, 4 Tc 2.79-2.94
Tc 0.0000 0.5000 0.2620 x2  2 Cr 2.55, 4 Re 2.66, 2 Tc 2.79

Formation energy ... 12.11 kJ per mole of atoms

No. 5
VASP calculation (PBE-GGA) on a geometry-optimized Tm2MgNi structure.

Cell: 4.8925 4.8925 3.6415 Å, 90.00 90.00 90.00°
Last column: nearest neighbours and their distance in Å.
Space group P4/mmm (No. 123)
Asymmetric unit:
Tm 0.0000 0.5000 0.0000 x2  4 Ni 3.05, 4 Mg 3.05
Mg 0.0000 0.0000 0.5000 x1  8 Tm 3.05
Ni 0.5000 0.5000 0.5000 x1  8 Tm 3.05

Formation energy ... -14.17 kJ per mole of atoms
ΔE to the lowest computed polymorph ... 51 kJ/mol of formula units

No. 6
VASP calculation (PBE-GGA) on a geometry-optimized ThFeGe structure.

Cell: 4.2181 4.2181 4.0030 Å, 90.00 90.00 120.00°
Last column: nearest neighbours and their distance in Å.
Space group P-6m2 (No. 187)
Asymmetric unit:
Th 0.0000 0.0000 0.0000 x1  6 Ge 3.15, 6 Fe 3.15
Fe 0.6667 0.3333 0.5000 x1  3 Ge 2.44
Ge 0.3333 0.6667 0.5000 x1  3 Fe 2.44

Formation energy ... -41.91 kJ per mole of atoms

No. 7
VASP calculation (PBE-GGA) on a geometry-optimized Pu2SCl structure.

Cell: 3.7635 3.7635 22.5421 Å, 90.00 90.00 120.00°
Last column: nearest neighbours and their distance in Å.
Space group R3m (No. 160, hexagonal axes)
Asymmetric unit:
Pu 0.0000 0.0000 0.0000 x3  3 S 2.73, 3 Cl 2.98
Pu 0.0000 0.0000 0.1853 x3  3 S 2.75, 3 Cl 3.04
S 0.0000 0.0000 0.5932 x3  6 Pu 2.73-2.75
Cl 0.0000 0.0000 0.4240 x3  6 Pu 2.98-3.04

Uncorrected formation energy ... -1.40 eV/atom
ΔE to the lowest computed polymorph ... 13 kJ/mol of formula units

No. 8
VASP calculation (PBE-GGA) on a geometry-optimized V4As2C structure.

Cell: 3.9109 3.9109 12.7255 Å, 90.00 90.00 90.00°
Last column: nearest neighbours and their distance in Å.
Space group I4/mmm (No. 139)
Asymmetric unit:
V 0.0000 0.0000 0.1613 x4  1 C 2.05
V 0.0000 0.5000 0.0000 x4  2 C 1.96
As 0.0000 0.0000 0.3581 x4  9 V 2.50-2.78
C 0.0000 0.0000 0.0000 x2  6 V 1.96-2.05

Formation energy ... -27.57 kJ per mole of atoms
ΔE to the lowest computed polymorph ... 155 kJ/mol of formula units

No. 9
VASP calculation (PBE-GGA) on a geometry-optimized Ti3TePb structure.

Cell: 7.0293 7.0293 15.9508 Å, 90.00 90.00 120.00°
Last column: nearest neighbours and their distance in Å.
Space group R3c (No. 161, hexagonal axes)
Asymmetric unit:
Ti 0.1118 0.4278 0.0000 x18  2 Te 2.74-2.76, 2 Ti 2.81, 2 Pb 2.87-2.90
Te 0.0000 0.0000 0.4732 x6  6 Ti 2.74-2.76
Pb 0.0000 0.0000 0.1829 x6  6 Ti 2.87-2.90

Uncorrected formation energy ... 0.06 eV/atom
ΔE to the lowest computed polymorph ... 0 kJ/mol of formula units

No. 10
VASP calculation (PBE-GGA) on a geometry-optimized SrSbAu structure.

Cell: 4.4021 4.4319 9.1405 Å, 90.00 90.00 90.00°
Last column: nearest neighbours and their distance in Å.
Space group Imm2 (No. 44)
Asymmetric unit:
Sr 0.0000 0.0000 0.0000 x2  5 Sb 3.17-3.42, 5 Au 3.22-3.40
Sb 0.0000 0.0000 0.3470 x2  1 Au 2.75
Au 0.0000 0.0000 0.6475 x2  1 Sb 2.75

Uncorrected formation energy ... -0.45 eV/atom

No. 11
VASP calculation (PBE-GGA) on a geometry-optimized In5Os3 structure.

Cell: 8.0611 8.0611 5.4749 Å, 90.00 90.00 120.00°
Last column: nearest neighbours and their distance in Å.
Space group P6_3/mcm (No. 193)
Asymmetric unit:
In 0.0000 0.2487 0.2500 x6  5 Os 2.76-2.97
In 0.3333 0.6667 0.0000 x4  2 In 2.74, 6 Os 2.84
Os 0.0000 0.3912 0.7500 x6  9 In 2.76-2.97

Formation energy ... 49.86 kJ per mole of atoms

No. 12
VASP calculation (PBE-GGA) on a geometry-optimized Pm2Cu17 structure.

Cell: 8.5997 8.5997 12.5881 Å, 90.00 90.00 120.00°
Last column: nearest neighbours and their distance in Å.
Space group R-3m (No. 166, hexagonal axes)
Asymmetric unit:
Pm 0.0000 0.0000 0.1582 x6  19 Cu 3.06-3.32
Cu 0.0000 0.0000 0.4025 x6  7 Cu 2.46-2.67
Cu 0.0000 0.2925 0.5000 x18  8 Cu 2.46-2.64
Cu 0.0000 0.5000 0.0000 x9  10 Cu 2.46-2.63
Cu 0.0018 0.5009 0.3453 x18  9 Cu 2.48-2.67

Formation energy ... -10.57 kJ per mole of atoms